# 1
A plane-wave DFT calculation with PBE-GGA was carried out for a relaxed ErPa3 crystal.

It has space group Fm-3m (No. 225), with a = 7.450 Å, b = 7.450 Å, c = 7.450 Å, α = 90.00°, β = 90.00° and γ = 90.00°. Symmetry generates all atoms from Er at (0.000, 0.000, 0.000), Pa at (0.000, 0.000, 0.500) and Pa at (0.250, 0.250, 0.250).

The polymorph energy (0 for the lowest one) comes out at 221.5 meV per atom. As for the electronic total energy: -31.61 eV/f.u. As for the formation enthalpy at 0 K: 1.44 eV per formula unit.

# 2
A plane-wave DFT calculation with PBE-GGA was carried out for a relaxed CaAlHg crystal.

It has space group I4mm (No. 107), with a = 3.546 Å, b = 3.546 Å, c = 11.448 Å, α = 90.00°, β = 90.00° and γ = 90.00°. Symmetry generates all atoms from Ca at (0.000, 0.000, 0.000), Al at (0.000, 0.000, 0.314) and Hg at (0.000, 0.000, 0.684).

The polymorph energy (0 for the lowest one) comes out at 174.6 meV per atom. As for the electronic total energy: -6.77 eV/f.u. As for the formation enthalpy at 0 K: -0.73 eV per formula unit.

# 3
A plane-wave DFT calculation with PBE-GGA was carried out for a relaxed CoSbAu2 crystal.

It has space group C2/m (No. 12), with a = 12.296 Å, b = 3.068 Å, c = 4.136 Å, α = 90.00°, β = 109.45° and γ = 90.00°. Symmetry generates all atoms from Co at (0.000, 0.000, 0.000), Sb at (0.000, 0.500, 0.500) and Au at (0.193, 0.500, 0.194).

As for the electronic total energy: -17.17 eV/f.u. Its raw formation energy is 14.7 kJ per mole of atoms.